(1)
Material: CrTcRh2
Method: DFT, GGA-PBEsol
State: optimized geometry

The symmetry is I4/mmm (139). The value obtained for the formation energy from the elements is -0.0694 eV/atom. The excess energy over the best structure of this formula in the dataset comes out at 73 meV per atom.

a b c (Å): 3.716 3.716 4.602
angles (deg): 113.81 113.81 90.00
Last column: magnetic moment on the atom in μB.
Atoms (fractional coordinates):
Rh: 0.250 0.750 0.500  -0.06
Rh: 0.750 0.250 0.500  -0.06
Tc: 0.000 0.000 0.000  -0.30
Cr: 0.500 0.500 0.000  0.78

(2)
Material: CrTe3Rh
Method: DFT, GGA-PBEsol
State: optimized geometry

The symmetry is Pm-3m (221). As for the formation energy from raw total energies: 20.3 kcal/mol of atoms.

a b c (Å): 4.946 4.946 4.946
angles (deg): 90.00 90.00 90.00
Last column: magnetic moment on the atom in μB.
Atoms (fractional coordinates):
Te: 0.500 0.000 0.000  -0.06
Te: 0.000 0.000 0.500  -0.06
Te: 0.000 0.500 0.000  -0.06
Rh: 0.500 0.500 0.500  -0.52
Cr: 0.000 0.000 0.000  1.94

(3)
Material: Cr3TeRh
Method: DFT, GGA-PBEsol
State: optimized geometry

The symmetry is Pm-3m (221). As for the formation energy from raw total energies: 42.1 kcal/mol of atoms.

a b c (Å): 4.906 4.906 4.906
angles (deg): 90.00 90.00 90.00
Last column: magnetic moment on the atom in μB.
Atoms (fractional coordinates):
Cr: 0.000 0.500 0.000  3.77
Cr: 0.000 0.000 0.500  3.77
Cr: 0.500 0.000 0.000  3.77
Rh: 0.500 0.500 0.500  -0.11
Te: 0.000 0.000 0.000  -0.06

(4)
Material: TlCrRh2
Method: DFT, GGA-PBEsol
State: optimized geometry

The symmetry is P4mm (99). The value obtained for the formation energy from the elements is 0.3428 eV/atom.

a b c (Å): 2.860 2.860 7.488
angles (deg): 90.00 90.00 90.00
Last column: magnetic moment on the atom in μB.
Atoms (fractional coordinates):
Cr: 0.500 0.500 0.785  2.28
Rh: 0.500 0.500 0.232  -0.13
Rh: 0.000 0.000 0.987  -0.08
Tl: 0.000 0.000 0.497  -0.02

(5)
Material: TlCr2Rh
Method: DFT, GGA-PBEsol
State: optimized geometry

The symmetry is C2/m (12). The value obtained for the formation energy from the elements is 0.4294 eV/atom. The excess energy over the best structure of this formula in the dataset comes out at 0 meV per atom.

a b c (Å): 2.877 4.706 4.773
angles (deg): 101.32 107.54 90.00
Atoms (fractional coordinates):
Cr: 0.760 0.833 0.520
Cr: 0.240 0.167 0.480
Rh: 0.500 0.000 0.000
Tl: 0.000 0.500 0.000

(6)
Material: TlCrRh
Method: DFT, GGA-PBEsol
State: optimized geometry

The symmetry is P-6m2 (187). The value obtained for the formation energy from the elements is 0.4398 eV/atom.

a b c (Å): 3.010 4.360 4.360
angles (deg): 120.00 90.00 90.00
Last column: magnetic moment on the atom in μB.
Atoms (fractional coordinates):
Tl: 0.500 0.667 0.333  -0.02
Rh: 0.000 0.333 0.667  0.14
Cr: 0.000 0.000 0.000  3.06

(7)
Material: TlCrRh2
Method: DFT, GGA-PBEsol
State: optimized geometry

The symmetry is P4/mmm (123). The value obtained for the formation energy from the elements is 0.1014 eV/atom.

a b c (Å): 2.911 2.911 7.143
angles (deg): 90.00 90.00 90.00
Last column: magnetic moment on the atom in μB.
Atoms (fractional coordinates):
Tl: 0.500 0.500 0.000  0.00
Rh: 0.000 0.000 0.288  0.03
Rh: 0.000 0.000 0.712  0.03
Cr: 0.500 0.500 0.500  2.07

(8)
Material: TlCr3Rh
Method: DFT, GGA-PBEsol
State: optimized geometry

The symmetry is Pm-3m (221). The value obtained for the formation energy from the elements is 1.3060 eV/atom. The excess energy over the best structure of this formula in the dataset comes out at 0 meV per atom.

a b c (Å): 4.678 4.678 4.678
angles (deg): 90.00 90.00 90.00
Last column: magnetic moment on the atom in μB.
Atoms (fractional coordinates):
Cr: 0.500 0.000 0.000  3.23
Cr: 0.000 0.500 0.000  3.23
Cr: 0.000 0.000 0.500  3.23
Tl: 0.500 0.500 0.500  -0.03
Rh: 0.000 0.000 0.000  -0.15

(9)
Material: TlCrRh
Method: DFT, GGA-PBEsol
State: optimized geometry

The symmetry is I4mm (107). The value obtained for the formation energy from the elements is 0.3218 eV/atom.

a b c (Å): 2.899 2.899 5.993
angles (deg): 104.00 104.00 90.00
Last column: magnetic moment on the atom in μB.
Atoms (fractional coordinates):
Cr: 0.019 0.019 0.038  1.58
Tl: 0.336 0.336 0.671  -0.02
Rh: 0.645 0.645 0.291  0.01

(10)
Material: TlCr2Rh
Method: DFT, GGA-PBEsol
State: optimized geometry

The symmetry is Fm-3m (225). The value obtained for the formation energy from the elements is 0.5645 eV/atom. The excess energy over the best structure of this formula in the dataset comes out at 135 meV per atom.

a b c (Å): 4.456 4.456 4.456
angles (deg): 60.00 60.00 60.00
Last column: magnetic moment on the atom in μB.
Atoms (fractional coordinates):
Tl: 0.500 0.500 0.500  -0.02
Cr: 0.750 0.750 0.750  3.03
Cr: 0.250 0.250 0.250  3.03
Rh: 0.000 0.000 0.000  0.34

(11)
Material: CrRh2W
Method: DFT, GGA-PBEsol
State: optimized geometry

The symmetry is Pmmm (47). The value obtained for the formation energy from the elements is -0.1019 eV/atom. The excess energy over the best structure of this formula in the dataset comes out at 20 meV per atom.

a b c (Å): 2.678 3.764 5.336
angles (deg): 90.00 90.00 90.00
Atoms (fractional coordinates):
Cr: 0.500 0.500 0.500
Rh: 0.000 0.000 0.741
Rh: 0.000 0.000 0.259
W: 0.500 0.500 0.000

(12)
Material: CrRh2W
Method: DFT, GGA-PBEsol
State: optimized geometry

The symmetry is I4/mmm (139). The value obtained for the formation energy from the elements is -0.1223 eV/atom. The excess energy over the best structure of this formula in the dataset comes out at 0 meV per atom.

a b c (Å): 3.765 3.765 4.630
angles (deg): 113.99 113.99 90.00
Last column: magnetic moment on the atom in μB.
Atoms (fractional coordinates):
Cr: 0.500 0.500 0.000  0.12
W: 0.000 0.000 0.000  -0.02
Rh: 0.250 0.750 0.500  -0.01
Rh: 0.750 0.250 0.500  -0.01